[1]
Entry from Alexandria: an optimized crystal structure of FeCo2Mo (GGA-PBE).

Geometry as CIF:
```
data_FeCo2Mo
_cell_length_a 2.610
_cell_length_b 3.551
_cell_length_c 5.180
_cell_angle_alpha 90.00
_cell_angle_beta 90.00
_cell_angle_gamma 90.00
_symmetry_space_group_name_H-M 'P m m m'
_symmetry_Int_Tables_number 47
_symmetry_space_group_name_Hall '-P 2 2'
loop_
_atom_site_label
_atom_site_type_symbol
_atom_site_fract_x
_atom_site_fract_y
_atom_site_fract_z
Fe1 Fe 0.000 0.000 0.000
Co1 Co 0.500 0.500 0.238
Mo1 Mo 0.000 0.000 0.500
```

Properties
The value obtained for the formation energy is 58.9 meV per atom.

[2]
Entry from Alexandria: an optimized crystal structure of Hg2PbCl (GGA-PBE).

Geometry as CIF:
```
data_Hg2PbCl
_cell_length_a 3.639
_cell_length_b 4.954
_cell_length_c 6.610
_cell_angle_alpha 90.00
_cell_angle_beta 105.71
_cell_angle_gamma 90.00
_symmetry_space_group_name_H-M 'P 1 m 1'
_symmetry_Int_Tables_number 6
_symmetry_space_group_name_Hall 'P -2y'
loop_
_atom_site_label
_atom_site_type_symbol
_atom_site_fract_x
_atom_site_fract_y
_atom_site_fract_z
Hg1 Hg 0.000 0.000 0.000
Hg2 Hg 0.447 0.500 0.886
Pb1 Pb 0.129 0.500 0.401
Cl1 Cl 0.721 0.000 0.471
```

Properties
The formation energy without anion corrections is -0.30 eV per atom.

[3]
Entry from Alexandria: an optimized crystal structure of RbAg2Br4 (GGA-PBE).

Geometry as CIF:
```
data_RbAg2Br4
_cell_length_a 7.627
_cell_length_b 7.645
_cell_length_c 9.664
_cell_angle_alpha 90.17
_cell_angle_beta 90.36
_cell_angle_gamma 90.09
_symmetry_space_group_name_H-M 'P -1'
_symmetry_Int_Tables_number 2
_symmetry_space_group_name_Hall '-P 1'
loop_
_atom_site_label
_atom_site_type_symbol
_atom_site_fract_x
_atom_site_fract_y
_atom_site_fract_z
Rb1 Rb 0.001 0.000 0.250
Ag1 Ag 0.000 0.500 0.500
Ag2 Ag 0.500 0.000 0.000
Ag3 Ag 0.500 0.500 0.000
Ag4 Ag 0.500 0.500 0.500
Br1 Br 0.245 0.255 0.501
Br2 Br 0.246 0.745 0.501
Br3 Br 0.255 0.245 0.001
Br4 Br 0.255 0.754 0.000
```

Properties
The formation energy without anion corrections is -0.68 eV per atom.

| no. | energy above the lowest structure with this stoichiometry (meV/atom) |
| --- | --- |
| 1 | 43 |
| 2 | 0 |
| 3 | 0 |